Record 1
{
  "formula": "LaSb2TeI",
  "functional": "meta-GGA SCAN",
  "state": "PBEsol geometry",
  "formation_energy_uncorrected_kj_per_mol_atoms": 3.3,
  "dft_energy_ev_per_atom": -38.290,
  "dos_at_fermi_per_ev_cell": 1.8,
  "lattice_angstrom": [[5.6346, 0.0000, 0.0000], [0.0000, 5.6346, 0.0000], [0.0000, 0.0000, 5.6462]],
  "species": ["La", "Sb", "Sb", "Te", "I"],
  "fractional_positions": [[0.0000, 0.0000, 0.0000], [0.0000, 0.5000, 0.5000], [0.5000, 0.0000, 0.5000], [0.5000, 0.5000, 0.5000], [0.5000, 0.5000, 0.0000]]
}

***

Record 2
{
  "formula": "AgB6Cl6",
  "functional": "meta-GGA SCAN",
  "state": "PBEsol geometry",
  "formation_energy_uncorrected_kj_per_mol_atoms": -73.0,
  "dft_energy_ev_per_atom": -10.281,
  "dos_at_fermi_per_ev_cell": 0.0,
  "lattice_angstrom": [[12.3219, 0.0000, 0.0000], [0.0000, 12.3219, 0.0000], [0.0000, 0.0000, 12.3219]],
  "species": ["Ag", "Ag", "Ag", "Ag", "Ag", "Ag", "Ag", "Ag", "B", "B", "B", "B", "B", "B", "B", "B", "B", "B", "B", "B", "B", "B", "B", "B", "B", "B", "B", "B", "B", "B", "B", "B", "B", "B", "B", "B", "B", "B", "B", "B", "B", "B", "B", "B", "B", "B", "B", "B", "B", "B", "B", "B", "B", "B", "B", "B", "Cl", "Cl", "Cl", "Cl", "Cl", "Cl", "Cl", "Cl", "Cl", "Cl", "Cl", "Cl", "Cl", "Cl", "Cl", "Cl", "Cl", "Cl", "Cl", "Cl", "Cl", "Cl", "Cl", "Cl", "Cl", "Cl", "Cl", "Cl", "Cl", "Cl", "Cl", "Cl", "Cl", "Cl", "Cl", "Cl", "Cl", "Cl", "Cl", "Cl", "Cl", "Cl", "Cl", "Cl", "Cl", "Cl", "Cl", "Cl"],
  "fractional_positions": [[0.1358, 0.1358, 0.1358], [0.1358, 0.3642, 0.6358], [0.3642, 0.6358, 0.1358], [0.3642, 0.8642, 0.6358], [0.6358, 0.1358, 0.3642], [0.6358, 0.3642, 0.8642], [0.8642, 0.6358, 0.3642], [0.8642, 0.8642, 0.8642], [0.0289, 0.5300, 0.8679], [0.0289, 0.9700, 0.3679], [0.0300, 0.6321, 0.9711], [0.0300, 0.8679, 0.4711], [0.0682, 0.0947, 0.4286], [0.0682, 0.4053, 0.9286], [0.0714, 0.5682, 0.0947], [0.0714, 0.9318, 0.5947], [0.0947, 0.0714, 0.5682], [0.0947, 0.4286, 0.0682], [0.1321, 0.5289, 0.9700], [0.1321, 0.9711, 0.4700], [0.3679, 0.0289, 0.9700], [0.3679, 0.4711, 0.4700], [0.4053, 0.5714, 0.5682], [0.4053, 0.9286, 0.0682], [0.4286, 0.0682, 0.0947], [0.4286, 0.4318, 0.5947], [0.4318, 0.5947, 0.4286], [0.4318, 0.9053, 0.9286], [0.4700, 0.1321, 0.9711], [0.4700, 0.3679, 0.4711], [0.4711, 0.0300, 0.8679], [0.4711, 0.4700, 0.3679], [0.5289, 0.5300, 0.6321], [0.5289, 0.9700, 0.1321], [0.5300, 0.6321, 0.5289], [0.5300, 0.8679, 0.0289], [0.5682, 0.0947, 0.0714], [0.5682, 0.4053, 0.5714], [0.5714, 0.5682, 0.4053], [0.5714, 0.9318, 0.9053], [0.5947, 0.0714, 0.9318], [0.5947, 0.4286, 0.4318], [0.6321, 0.5289, 0.5300], [0.6321, 0.9711, 0.0300], [0.8679, 0.0289, 0.5300], [0.8679, 0.4711, 0.0300], [0.9053, 0.5714, 0.9318], [0.9053, 0.9286, 0.4318], [0.9286, 0.0682, 0.4053], [0.9286, 0.4318, 0.9053], [0.9318, 0.5947, 0.0714], [0.9318, 0.9053, 0.5714], [0.9700, 0.1321, 0.5289], [0.9700, 0.3679, 0.0289], [0.9711, 0.0300, 0.6321], [0.9711, 0.4700, 0.1321], [0.0536, 0.7270, 0.4443], [0.0536, 0.7730, 0.9443], [0.0557, 0.5536, 0.7270], [0.0557, 0.9464, 0.2270], [0.1364, 0.1971, 0.3532], [0.1364, 0.3029, 0.8532], [0.1468, 0.6364, 0.1971], [0.1468, 0.8636, 0.6971], [0.1971, 0.1468, 0.6364], [0.1971, 0.3532, 0.1364], [0.2270, 0.0557, 0.9464], [0.2270, 0.4443, 0.4464], [0.2730, 0.5557, 0.9464], [0.2730, 0.9443, 0.4464], [0.3029, 0.6468, 0.6364], [0.3029, 0.8532, 0.1364], [0.3532, 0.1364, 0.1971], [0.3532, 0.3636, 0.6971], [0.3636, 0.6971, 0.3532], [0.3636, 0.8029, 0.8532], [0.4443, 0.0536, 0.7270], [0.4443, 0.4464, 0.2270], [0.4464, 0.2270, 0.4443], [0.4464, 0.2730, 0.9443], [0.5536, 0.7270, 0.0557], [0.5536, 0.7730, 0.5557], [0.5557, 0.5536, 0.7730], [0.5557, 0.9464, 0.2730], [0.6364, 0.1971, 0.1468], [0.6364, 0.3029, 0.6468], [0.6468, 0.6364, 0.3029], [0.6468, 0.8636, 0.8029], [0.6971, 0.1468, 0.8636], [0.6971, 0.3532, 0.3636], [0.7270, 0.0557, 0.5536], [0.7270, 0.4443, 0.0536], [0.7730, 0.5557, 0.5536], [0.7730, 0.9443, 0.0536], [0.8029, 0.6468, 0.8636], [0.8029, 0.8532, 0.3636], [0.8532, 0.1364, 0.3029], [0.8532, 0.3636, 0.8029], [0.8636, 0.6971, 0.1468], [0.8636, 0.8029, 0.6468], [0.9443, 0.0536, 0.7730], [0.9443, 0.4464, 0.2730], [0.9464, 0.2270, 0.0557], [0.9464, 0.2730, 0.5557]]
}

***

Record 3
{
  "formula": "KBa2Y",
  "functional": "meta-GGA SCAN",
  "state": "PBEsol geometry",
  "dft_energy_ev_per_atom": -28.448,
  "dos_at_fermi_per_ev_cell": 5.3,
  "formation_enthalpy_0k_kj_per_mol_atoms": 35.66,
  "lattice_angstrom": [[-2.2022, 3.4057, 6.4667], [2.2022, -3.4057, 6.4667], [2.2022, 3.4057, -6.4667]],
  "species": ["K", "Ba", "Ba", "Y"],
  "fractional_positions": [[0.0000, 0.0000, 0.0000], [0.2582, 0.7582, 0.5000], [0.7418, 0.2418, 0.5000], [0.5000, 0.5000, 0.0000]]
}